<i>
Here is an optimized crystal structure of InIBr2 from Alexandria. Energies are from GGA-PBE.

Lattice parameters (Å, degrees): 7.068 7.069 8.179 65.38 66.74 60.86
Space group P1 (No. 1)
Unique sites:
1 In 0.000 0.000 0.000 (multiplicity 1)
2 In 0.332 0.331 0.001 (multiplicity 1)
3 I 0.086 0.745 0.756 (multiplicity 1)
4 I 0.592 0.930 0.244 (multiplicity 1)
5 Br 0.244 0.593 0.213 (multiplicity 1)
6 Br 0.368 0.097 0.784 (multiplicity 1)
7 Br 0.728 0.378 0.787 (multiplicity 1)
8 Br 0.960 0.232 0.216 (multiplicity 1)

Output
- D(E_F) (states/eV per cell) = 0.00
- volume (Å³/atom) = 39.4

***

<ii>
Here is an optimized crystal structure of InIBr2 from Alexandria. Energies are from GGA-PBE.

Lattice parameters (Å, degrees): 9.717 9.717 6.069 90.00 90.00 90.00
Space group I-42d (No. 122)
Unique sites:
1 In 0.000 0.000 0.000 (multiplicity 4)
2 I 0.000 0.000 0.500 (multiplicity 4)
3 Br 0.123 0.250 0.125 (multiplicity 8)

Output
- D(E_F) (states/eV per cell) = 12.85
- volume (Å³/atom) = 35.8

***

<iii>
Here is an optimized crystal structure of InIBr2 from Alexandria. Energies are from GGA-PBE.

Lattice parameters (Å, degrees): 6.933 6.541 17.756 90.00 112.98 90.00
Space group P2_1/c (No. 14)
Unique sites:
1 In 0.100 0.000 0.350 (multiplicity 4)
2 I 0.246 0.249 0.250 (multiplicity 4)
3 Br 0.068 0.735 0.083 (multiplicity 4)
4 Br 0.401 0.736 0.917 (multiplicity 4)

Output
- D(E_F) (states/eV per cell) = 0.00
- volume (Å³/atom) = 46.3

***

Which one sits at the top of the stability order? <i> does.